Computed, not measured: crystalline Te2AsP at its relaxed geometry at the PBE level of DFT.

```
Te2AsP
1.0
4.1071 0.0000 0.0000
0.0000 5.0593 -0.0475
0.0000 1.5339 4.8213
As Te P
1 2 1
Cartesian
2.0536 1.6483 1.1934
0.0000 3.3431 2.4205
0.0000 6.5468 4.7401
2.0536 4.9449 3.5803
```

Summary:
Uncorrected formation energy: 1.1 eV/f.u.
E above lowest polymorph: 0.135 eV/atom